# 1
Density functional theory data (GGA-PBE) for Cu2SnH after structural relaxation.

The calculation puts the energy above the most stable polymorph in this dataset at 0 meV per atom. Its space group is I-42d. The magnetization is 0.000 μB per formula unit.

CIF file:
```
data_Cu2SnH
_chemical_formula_sum 'Cu4 Sn2 H2'
_symmetry_space_group_name_H-M 'P 1'
_symmetry_Int_Tables_number 1
_symmetry_space_group_name_Hall 'P 1'
_cell_length_a 5.2793
_cell_length_b 5.2793
_cell_length_c 5.2793
_cell_angle_alpha 115.49
_cell_angle_beta 115.49
_cell_angle_gamma 98.00
loop_
_atom_site_label
_atom_site_type_symbol
_atom_site_fract_x
_atom_site_fract_y
_atom_site_fract_z
_atom_site_occupancy
Cu1 Cu 0.3750 0.1904 0.3154 1
Cu2 Cu 0.8096 0.1250 0.1846 1
Cu3 Cu 0.8750 0.0596 0.6846 1
Cu4 Cu 0.9404 0.6250 0.8154 1
Sn1 Sn 0.2500 0.7500 0.5000 1
Sn2 Sn 0.5000 0.5000 0.0000 1
H1 H 0.0000 0.0000 0.0000 1
H2 H 0.7500 0.2500 0.5000 1
```

---

# 2
Density functional theory data (GGA-PBE) for La4Pr15Tl after structural relaxation.

Its space group is P4/mmm. The magnetization is 0.000 μB per formula unit. Its energy of formation is -0.02 eV per atom.

CIF file:
```
data_La4Pr15Tl
_chemical_formula_sum 'La4 Pr15 Tl1'
_symmetry_space_group_name_H-M 'P 1'
_symmetry_Int_Tables_number 1
_symmetry_space_group_name_Hall 'P 1'
_cell_length_a 5.1899
_cell_length_b 5.1899
_cell_length_c 26.3617
_cell_angle_alpha 90.00
_cell_angle_beta 90.00
_cell_angle_gamma 90.00
loop_
_atom_site_label
_atom_site_type_symbol
_atom_site_fract_x
_atom_site_fract_y
_atom_site_fract_z
_atom_site_occupancy
La1 La 0.0000 0.0000 0.1008 1
La2 La 0.0000 0.0000 0.3030 1
La3 La 0.0000 0.0000 0.6970 1
La4 La 0.0000 0.0000 0.8992 1
Pr1 Pr 0.0000 0.5000 0.0000 1
Pr2 Pr 0.0000 0.5000 0.2026 1
Pr3 Pr 0.0000 0.5000 0.4049 1
Pr4 Pr 0.0000 0.5000 0.5951 1
Pr5 Pr 0.0000 0.5000 0.7974 1
Pr6 Pr 0.5000 0.0000 0.0000 1
Pr7 Pr 0.5000 0.0000 0.2026 1
Pr8 Pr 0.5000 0.0000 0.4049 1
Pr9 Pr 0.5000 0.0000 0.5951 1
Pr10 Pr 0.5000 0.0000 0.7974 1
Pr11 Pr 0.5000 0.5000 0.1016 1
Pr12 Pr 0.5000 0.5000 0.3049 1
Pr13 Pr 0.5000 0.5000 0.5000 1
Pr14 Pr 0.5000 0.5000 0.6951 1
Pr15 Pr 0.5000 0.5000 0.8984 1
Tl1 Tl 0.0000 0.0000 0.5000 1
```

---

# 3
Density functional theory data (GGA-PBE) for SrInSb after structural relaxation.

The raw formation energy is -0.465 eV per atom. Its space group is I4mm. The magnetization is 0.000 μB per formula unit.

CIF file:
```
data_SrInSb
_chemical_formula_sum 'Sr1 In1 Sb1'
_symmetry_space_group_name_H-M 'P 1'
_symmetry_Int_Tables_number 1
_symmetry_space_group_name_Hall 'P 1'
_cell_length_a 6.3963
_cell_length_b 6.3963
_cell_length_c 6.3963
_cell_angle_alpha 142.89
_cell_angle_beta 142.89
_cell_angle_gamma 53.49
loop_
_atom_site_label
_atom_site_type_symbol
_atom_site_fract_x
_atom_site_fract_y
_atom_site_fract_z
_atom_site_occupancy
Sr1 Sr 0.0000 0.0000 0.0000 1
In1 In 0.3043 0.3043 0.0000 1
Sb1 Sb 0.6901 0.6901 0.0000 1
```

---

# 4
Density functional theory data (GGA-PBE) for TlC after structural relaxation.

The calculation puts the energy above the most stable polymorph in this dataset at 1180 meV per atom. Its space group is F-43m. The magnetization is 0.000 μB per formula unit. Its energy of formation is 1.96 eV per atom.

CIF file:
```
data_TlC
_chemical_formula_sum 'Tl1 C1'
_symmetry_space_group_name_H-M 'P 1'
_symmetry_Int_Tables_number 1
_symmetry_space_group_name_Hall 'P 1'
_cell_length_a 3.7757
_cell_length_b 3.7757
_cell_length_c 3.7757
_cell_angle_alpha 60.00
_cell_angle_beta 60.00
_cell_angle_gamma 60.00
loop_
_atom_site_label
_atom_site_type_symbol
_atom_site_fract_x
_atom_site_fract_y
_atom_site_fract_z
_atom_site_occupancy
Tl1 Tl 0.0000 0.0000 0.0000 1
C1 C 0.7500 0.7500 0.7500 1
```

---

# 5
Density functional theory data (GGA-PBE) for FePOs after structural relaxation.

Its space group is P-6m2. The magnetization is 2.561 μB per formula unit. Its energy of formation is -0.03 eV per atom.

CIF file:
```
data_FePOs
_chemical_formula_sum 'Fe1 P1 Os1'
_symmetry_space_group_name_H-M 'P 1'
_symmetry_Int_Tables_number 1
_symmetry_space_group_name_Hall 'P 1'
_cell_length_a 3.9947
_cell_length_b 3.9947
_cell_length_c 2.8494
_cell_angle_alpha 90.00
_cell_angle_beta 90.00
_cell_angle_gamma 120.00
loop_
_atom_site_label
_atom_site_type_symbol
_atom_site_fract_x
_atom_site_fract_y
_atom_site_fract_z
_atom_site_occupancy
Fe1 Fe 0.0000 0.0000 0.0000 1
P1 P 0.3333 0.6667 0.5000 1
Os1 Os 0.6667 0.3333 0.5000 1
```

---

# 6
Density functional theory data (GGA-PBE) for TcRhBr2Cl after structural relaxation.

The raw formation energy is 1.394 eV per atom. Its space group is P4/mmm. The magnetization is 6.498 μB per formula unit.

CIF file:
```
data_TcRhBr2Cl
_chemical_formula_sum 'Tc1 Rh1 Br2 Cl1'
_symmetry_space_group_name_H-M 'P 1'
_symmetry_Int_Tables_number 1
_symmetry_space_group_name_Hall 'P 1'
_cell_length_a 6.1757
_cell_length_b 6.1757
_cell_length_c 4.4840
_cell_angle_alpha 90.00
_cell_angle_beta 90.00
_cell_angle_gamma 90.00
loop_
_atom_site_label
_atom_site_type_symbol
_atom_site_fract_x
_atom_site_fract_y
_atom_site_fract_z
_atom_site_occupancy
Tc1 Tc 0.0000 0.0000 0.0000 1
Rh1 Rh 0.5000 0.5000 0.0000 1
Br1 Br 0.0000 0.5000 0.5000 1
Br2 Br 0.5000 0.0000 0.5000 1
Cl1 Cl 0.0000 0.0000 0.5000 1
```

---

# 7
Density functional theory data (GGA-PBE) for Cs2AsPb after structural relaxation.

The calculation puts the energy above the most stable polymorph in this dataset at 223 meV per atom. Its space group is I-42d. The magnetization is 0.001 μB per formula unit. Its energy of formation is -0.08 eV per atom.

CIF file:
```
data_Cs2AsPb
_chemical_formula_sum 'Cs4 As2 Pb2'
_symmetry_space_group_name_H-M 'P 1'
_symmetry_Int_Tables_number 1
_symmetry_space_group_name_Hall 'P 1'
_cell_length_a 9.7833
_cell_length_b 9.7833
_cell_length_c 9.7833
_cell_angle_alpha 94.81
_cell_angle_beta 94.81
_cell_angle_gamma 146.32
loop_
_atom_site_label
_atom_site_type_symbol
_atom_site_fract_x
_atom_site_fract_y
_atom_site_fract_z
_atom_site_occupancy
Cs1 Cs 0.3750 0.0305 0.1555 1
Cs2 Cs 0.7805 0.6250 0.6555 1
Cs3 Cs 0.8750 0.2195 0.8445 1
Cs4 Cs 0.9695 0.1250 0.3445 1
As1 As 0.0000 0.0000 0.0000 1
As2 As 0.7500 0.2500 0.5000 1
Pb1 Pb 0.2500 0.7500 0.5000 1
Pb2 Pb 0.5000 0.5000 0.0000 1
```

---

# 8
Density functional theory data (GGA-PBE) for ErFeSi2Ni after structural relaxation.

The raw formation energy is -0.765 eV per atom. Its space group is I-4m2. The magnetization is 0.001 μB per formula unit.

CIF file:
```
data_ErFeSi2Ni
_chemical_formula_sum 'Er1 Fe1 Si2 Ni1'
_symmetry_space_group_name_H-M 'P 1'
_symmetry_Int_Tables_number 1
_symmetry_space_group_name_Hall 'P 1'
_cell_length_a 5.6016
_cell_length_b 5.6016
_cell_length_c 5.6016
_cell_angle_alpha 139.55
_cell_angle_beta 139.55
_cell_angle_gamma 58.54
loop_
_atom_site_label
_atom_site_type_symbol
_atom_site_fract_x
_atom_site_fract_y
_atom_site_fract_z
_atom_site_occupancy
Er1 Er 0.0000 0.0000 0.0000 1
Fe1 Fe 0.2500 0.7500 0.5000 1
Si1 Si 0.3741 0.3741 0.0000 1
Si2 Si 0.6259 0.6259 0.0000 1
Ni1 Ni 0.7500 0.2500 0.5000 1
```

---

# 9
Density functional theory data (GGA-PBE) for Ac5Al2S12 after structural relaxation.

The raw formation energy is -1.581 eV per atom. Its space group is C2/m. The magnetization is 2.399 μB per formula unit.

CIF file:
```
data_Ac5Al2S12
_chemical_formula_sum 'Ac5 Al2 S12'
_symmetry_space_group_name_H-M 'P 1'
_symmetry_Int_Tables_number 1
_symmetry_space_group_name_Hall 'P 1'
_cell_length_a 8.8540
_cell_length_b 8.8540
_cell_length_c 9.3788
_cell_angle_alpha 105.42
_cell_angle_beta 105.42
_cell_angle_gamma 48.18
loop_
_atom_site_label
_atom_site_type_symbol
_atom_site_fract_x
_atom_site_fract_y
_atom_site_fract_z
_atom_site_occupancy
Ac1 Ac 0.0000 0.0000 0.0000 1
Ac2 Ac 0.3078 0.3078 0.1495 1
Ac3 Ac 0.3129 0.3129 0.6623 1
Ac4 Ac 0.6871 0.6871 0.3377 1
Ac5 Ac 0.6922 0.6922 0.8505 1
Al1 Al 0.2624 0.7376 0.5000 1
Al2 Al 0.7376 0.2624 0.5000 1
S1 S 0.0008 0.0008 0.6708 1
S2 S 0.0882 0.6016 0.4237 1
S3 S 0.0956 0.5996 0.9242 1
S4 S 0.3984 0.9118 0.5763 1
S5 S 0.4004 0.9044 0.0758 1
S6 S 0.4985 0.4985 0.3177 1
S7 S 0.5015 0.5015 0.6823 1
S8 S 0.5996 0.0956 0.9242 1
S9 S 0.6016 0.0882 0.4237 1
S10 S 0.9044 0.4004 0.0758 1
S11 S 0.9118 0.3984 0.5763 1
S12 S 0.9992 0.9992 0.3292 1
```

---

# 10
Density functional theory data (GGA-PBE) for La4PmY after structural relaxation.

Its space group is Pmmm. The magnetization is 0.000 μB per formula unit. Its energy of formation is 0.02 eV per atom.

CIF file:
```
data_La4PmY
_chemical_formula_sum 'La4 Pm1 Y1'
_symmetry_space_group_name_H-M 'P 1'
_symmetry_Int_Tables_number 1
_symmetry_space_group_name_Hall 'P 1'
_cell_length_a 3.6826
_cell_length_b 5.2542
_cell_length_c 11.0274
_cell_angle_alpha 90.00
_cell_angle_beta 90.00
_cell_angle_gamma 90.00
loop_
_atom_site_label
_atom_site_type_symbol
_atom_site_fract_x
_atom_site_fract_y
_atom_site_fract_z
_atom_site_occupancy
La1 La 0.0000 0.0000 0.1693 1
La2 La 0.0000 0.0000 0.8307 1
La3 La 0.5000 0.5000 0.3285 1
La4 La 0.5000 0.5000 0.6715 1
Pm1 Pm 0.0000 0.0000 0.5000 1
Y1 Y 0.5000 0.5000 0.0000 1
```

---

Q: Which Fermi-level density of states values were calculated for the entries above? A: 1.62, 28.40, 2.43, 1.16, 2.33, 5.18, 7.81, 2.42, 9.60, 10.01, in states/eV per cell.